No. 1
# AlV2B PBE-GGA optimized geometry
# energy of formation from the pure elements: -0.1223 eV/atom
data_AlV2B
_space_group_name_H-M_alt 'P 1'
_space_group_IT_number 1
_space_group_name_Hall 'P 1'
_cell_length_a 2.879
_cell_length_b 2.879
_cell_length_c 5.723
_cell_angle_alpha 90.00
_cell_angle_beta 90.00
_cell_angle_gamma 90.00
loop_
_atom_site_label
_atom_site_type_symbol
_atom_site_fract_x
_atom_site_fract_y
_atom_site_fract_z
B1 B 0.500 0.500 0.000
Al1 Al 0.500 0.500 0.500
V1 V 0.000 0.000 0.806
V2 V 0.000 0.000 0.194

***

No. 2
# NiPtBr4 PBE-GGA optimized geometry
# raw formation energy: 1.44 eV/atom
data_NiPtBr4
_space_group_name_H-M_alt 'P 1'
_space_group_IT_number 1
_space_group_name_Hall 'P 1'
_cell_length_a 5.999
_cell_length_b 5.999
_cell_length_c 5.999
_cell_angle_alpha 60.00
_cell_angle_beta 60.00
_cell_angle_gamma 60.00
loop_
_atom_site_label
_atom_site_type_symbol
_atom_site_fract_x
_atom_site_fract_y
_atom_site_fract_z
Ni1 Ni 0.750 0.750 0.750
Pt1 Pt 0.000 0.000 0.000
Br1 Br 0.375 0.876 0.375
Br2 Br 0.876 0.375 0.375
Br3 Br 0.375 0.375 0.876
Br4 Br 0.375 0.375 0.375

***

No. 3
# CaP3Rh PBE-GGA optimized geometry
# energy of formation from the pure elements: 1.5858 eV/atom
data_CaP3Rh
_space_group_name_H-M_alt 'P 1'
_space_group_IT_number 1
_space_group_name_Hall 'P 1'
_cell_length_a 5.016
_cell_length_b 5.016
_cell_length_c 5.016
_cell_angle_alpha 90.00
_cell_angle_beta 90.00
_cell_angle_gamma 90.00
loop_
_atom_site_label
_atom_site_type_symbol
_atom_site_fract_x
_atom_site_fract_y
_atom_site_fract_z
P1 P 0.000 0.500 0.000
P2 P 0.000 0.000 0.500
P3 P 0.500 0.000 0.000
Ca1 Ca 0.000 0.000 0.000
Rh1 Rh 0.500 0.500 0.500

***

No. 4
# SrOs3 PBE-GGA optimized geometry
# energy of formation from the pure elements: 0.9199 eV/atom
data_SrOs3
_space_group_name_H-M_alt 'P 1'
_space_group_IT_number 1
_space_group_name_Hall 'P 1'
_cell_length_a 5.725
_cell_length_b 5.725
_cell_length_c 4.588
_cell_angle_alpha 90.00
_cell_angle_beta 90.00
_cell_angle_gamma 100.15
loop_
_atom_site_label
_atom_site_type_symbol
_atom_site_fract_x
_atom_site_fract_y
_atom_site_fract_z
Sr1 Sr 0.425 0.575 0.250
Sr2 Sr 0.575 0.425 0.750
Os1 Os 0.936 0.064 0.750
Os2 Os 0.064 0.936 0.250
Os3 Os 0.054 0.611 0.750
Os4 Os 0.946 0.389 0.250
Os5 Os 0.389 0.946 0.750
Os6 Os 0.611 0.054 0.250

***

No. 5
# Ac4IrPt2S PBE-GGA optimized geometry
# raw formation energy: -1.22 eV/atom
data_Ac4IrPt2S
_space_group_name_H-M_alt 'P 1'
_space_group_IT_number 1
_space_group_name_Hall 'P 1'
_cell_length_a 4.344
_cell_length_b 7.652
_cell_length_c 7.584
_cell_angle_alpha 108.79
_cell_angle_beta 90.00
_cell_angle_gamma 90.00
loop_
_atom_site_label
_atom_site_type_symbol
_atom_site_fract_x
_atom_site_fract_y
_atom_site_fract_z
Ac1 Ac 0.500 0.260 0.250
Ac2 Ac 0.500 0.740 0.750
Ac3 Ac 0.000 0.259 0.756
Ac4 Ac 0.000 0.741 0.244
Ir1 Ir 0.500 0.500 0.000
Pt1 Pt 0.500 0.000 0.500
Pt2 Pt 0.000 0.500 0.500
S1 S 0.000 0.000 0.000

***

No. 6
# Mg4IrPt PBE-GGA optimized geometry
# energy of formation from the pure elements: 0.1470 eV/atom
data_Mg4IrPt
_space_group_name_H-M_alt 'P 1'
_space_group_IT_number 1
_space_group_name_Hall 'P 1'
_cell_length_a 5.252
_cell_length_b 5.252
_cell_length_c 5.252
_cell_angle_alpha 60.00
_cell_angle_beta 60.00
_cell_angle_gamma 60.00
loop_
_atom_site_label
_atom_site_type_symbol
_atom_site_fract_x
_atom_site_fract_y
_atom_site_fract_z
Mg1 Mg 0.375 0.875 0.375
Mg2 Mg 0.875 0.375 0.375
Mg3 Mg 0.375 0.375 0.875
Mg4 Mg 0.375 0.375 0.375
Ir1 Ir 0.000 0.000 0.000
Pt1 Pt 0.750 0.750 0.750

***

No. 7
# Dy4IrRh PBE-GGA optimized geometry
# energy of formation from the pure elements: -0.6710 eV/atom
data_Dy4IrRh
_space_group_name_H-M_alt 'P 1'
_space_group_IT_number 1
_space_group_name_Hall 'P 1'
_cell_length_a 6.254
_cell_length_b 7.440
_cell_length_c 7.935
_cell_angle_alpha 113.96
_cell_angle_beta 108.63
_cell_angle_gamma 99.16
loop_
_atom_site_label
_atom_site_type_symbol
_atom_site_fract_x
_atom_site_fract_y
_atom_site_fract_z
Dy1 Dy 0.007 0.243 0.875
Dy2 Dy 0.789 0.685 0.639
Dy3 Dy 0.368 0.632 0.875
Dy4 Dy 0.350 0.954 0.639
Dy5 Dy 0.650 0.046 0.361
Dy6 Dy 0.632 0.368 0.125
Dy7 Dy 0.211 0.315 0.361
Dy8 Dy 0.993 0.757 0.125
Ir1 Ir 0.387 0.637 0.274
Ir2 Ir 0.613 0.363 0.726
Rh1 Rh 0.252 0.002 0.004
Rh2 Rh 0.748 0.998 0.996

***

No. 8
# Be2InReS PBE-GGA optimized geometry
# raw formation energy: 0.53 eV/atom
data_Be2InReS
_space_group_name_H-M_alt 'P 1'
_space_group_IT_number 1
_space_group_name_Hall 'P 1'
_cell_length_a 4.598
_cell_length_b 4.389
_cell_length_c 4.598
_cell_angle_alpha 90.00
_cell_angle_beta 90.00
_cell_angle_gamma 90.00
loop_
_atom_site_label
_atom_site_type_symbol
_atom_site_fract_x
_atom_site_fract_y
_atom_site_fract_z
Re1 Re 0.000 0.000 0.000
S1 S 0.000 0.500 0.000
Be1 Be 0.000 0.000 0.500
Be2 Be 0.500 0.000 0.000
In1 In 0.500 0.500 0.500

***

No. 9
# NaSnI3 PBE-GGA optimized geometry
# raw formation energy: -0.79 eV/atom
data_NaSnI3
_space_group_name_H-M_alt 'P 1'
_space_group_IT_number 1
_space_group_name_Hall 'P 1'
_cell_length_a 4.607
_cell_length_b 8.074
_cell_length_c 11.489
_cell_angle_alpha 102.18
_cell_angle_beta 90.00
_cell_angle_gamma 90.00
loop_
_atom_site_label
_atom_site_type_symbol
_atom_site_fract_x
_atom_site_fract_y
_atom_site_fract_z
Na1 Na 0.750 0.781 0.525
Na2 Na 0.250 0.219 0.475
Sn1 Sn 0.750 0.647 0.167
Sn2 Sn 0.250 0.353 0.833
I1 I 0.250 0.547 0.348
I2 I 0.750 0.453 0.652
I3 I 0.250 0.991 0.677
I4 I 0.750 0.256 0.995
I5 I 0.750 0.009 0.323
I6 I 0.250 0.744 0.005

***

No. 10
# K2SrP2O7 PBE-GGA optimized geometry
# raw formation energy: -2.47 eV/atom
data_K2SrP2O7
_space_group_name_H-M_alt 'P 1'
_space_group_IT_number 1
_space_group_name_Hall 'P 1'
_cell_length_a 6.025
_cell_length_b 6.025
_cell_length_c 7.750
_cell_angle_alpha 67.13
_cell_angle_beta 67.13
_cell_angle_gamma 60.00
loop_
_atom_site_label
_atom_site_type_symbol
_atom_site_fract_x
_atom_site_fract_y
_atom_site_fract_z
K1 K 0.751 0.751 0.747
K2 K 0.249 0.249 0.253
Sr1 Sr 0.500 0.500 0.500
P1 P 0.923 0.923 0.232
P2 P 0.077 0.077 0.768
O1 O 0.185 0.764 0.293
O2 O 0.758 0.185 0.293
O3 O 0.764 0.758 0.293
O4 O 0.242 0.236 0.707
O5 O 0.815 0.242 0.707
O6 O 0.000 0.000 0.000
O7 O 0.236 0.815 0.707

***

No. 11
# Li3Mg7In PBE-GGA optimized geometry
# energy of formation from the pure elements: -0.0053 eV/atom
data_Li3Mg7In
_space_group_name_H-M_alt 'P 1'
_space_group_IT_number 1
_space_group_name_Hall 'P 1'
_cell_length_a 7.613
_cell_length_b 6.215
_cell_length_c 6.215
_cell_angle_alpha 120.00
_cell_angle_beta 90.00
_cell_angle_gamma 90.00
loop_
_atom_site_label
_atom_site_type_symbol
_atom_site_fract_x
_atom_site_fract_y
_atom_site_fract_z
Li1 Li 0.781 0.496 0.504
Li2 Li 0.781 0.496 0.993
Li3 Li 0.781 0.007 0.504
Mg1 Mg 0.110 0.167 0.833
Mg2 Mg 0.110 0.167 0.334
Mg3 Mg 0.104 0.667 0.333
Mg4 Mg 0.458 0.834 0.166
Mg5 Mg 0.458 0.333 0.166
Mg6 Mg 0.458 0.834 0.667
Mg7 Mg 0.110 0.666 0.833
In1 In 0.463 0.333 0.667

***

No. 12
# ZrPd2F PBE-GGA optimized geometry
# raw formation energy: -0.60 eV/atom
data_ZrPd2F
_space_group_name_H-M_alt 'P 1'
_space_group_IT_number 1
_space_group_name_Hall 'P 1'
_cell_length_a 4.514
_cell_length_b 4.514
_cell_length_c 4.514
_cell_angle_alpha 60.00
_cell_angle_beta 60.00
_cell_angle_gamma 60.00
loop_
_atom_site_label
_atom_site_type_symbol
_atom_site_fract_x
_atom_site_fract_y
_atom_site_fract_z
Zr1 Zr 0.500 0.500 0.500
Pd1 Pd 0.250 0.250 0.250
Pd2 Pd 0.750 0.750 0.750
F1 F 0.000 0.000 0.000

***

Number 1: magnetization 0.0 μB per formula unit, mass density 4.9 g/cm3, VASP energy -29.1 eV per cell. Number 2: magnetization 1.0 μB per formula unit, mass density 6.2 g/cm3, VASP energy -9.9 eV per cell. Number 3: magnetization 1.5 μB per formula unit, mass density 3.1 g/cm3, VASP energy -17.7 eV per cell. Number 4: magnetization 0.0 μB per formula unit, mass density 14.8 g/cm3, VASP energy -63.4 eV per cell. Number 5: magnetization 0.0 μB per formula unit, mass density 10.6 g/cm3, VASP energy -51.2 eV per cell. Number 6: magnetization 0.0 μB per formula unit, mass density 7.9 g/cm3, VASP energy -20.4 eV per cell. Number 7: magnetization 0.0 μB per formula unit, mass density 10.4 g/cm3, VASP energy -77.3 eV per cell. Number 8: magnetization 0.0 μB per formula unit, mass density 6.3 g/cm3, VASP energy -24.1 eV per cell. Number 9: magnetization 0.0 μB per formula unit, mass density 4.2 g/cm3, VASP energy -27.8 eV per cell. Number 10: magnetization 0.0 μB per formula unit, mass density 2.6 g/cm3, VASP energy -79.1 eV per cell. Number 11: magnetization 0.0 μB per formula unit, mass density 2.0 g/cm3, VASP energy -19.7 eV per cell. Number 12: magnetization 0.0 μB per formula unit, mass density 8.3 g/cm3, VASP energy -23.2 eV per cell.